1:
First-principles (GGA+U) data for a relaxed structure of VCOF2, as listed in Alexandria.

The structure belongs to space group P4/mmm (No. 123); the cell edges are 4.1690, 4.1690 and 3.1303 Å and the angles 90.00°, 90.00° and 90.00°. The inequivalent atoms are V at (0.0000, 0.0000, 0.0000), C at (0.5000, 0.5000, 0.5000), O at (0.5000, 0.5000, 0.0000) and F at (0.0000, 0.5000, 0.5000).

The crystal system is tetragonal. The calculated volume comes out at 54.4 Å³/cell. As for the magnetic moment: 1.305 μB per formula unit. The density comes out at 3.57 g/cm3.

***

2:
First-principles (GGA+U) data for a relaxed structure of VCOF2, as listed in Alexandria.

The structure belongs to space group P4/mmm (No. 123); the cell edges are 3.9775, 3.9775 and 3.7061 Å and the angles 90.00°, 90.00° and 90.00°. The inequivalent atoms are V at (0.0000, 0.0000, 0.0000), C at (0.5000, 0.5000, 0.5000), O at (0.0000, 0.0000, 0.5000) and F at (0.0000, 0.5000, 0.0000).

The crystal system is tetragonal. The calculated volume comes out at 58.6 Å³/cell. As for the magnetic moment: 1.484 μB per formula unit. The density comes out at 3.31 g/cm3.

***

Here is how they stack up, most stable first: 2, 1.